La2BePb | GGA-PBE | relaxed

Lattice parameters (Å, degrees): 9.4703 9.4703 9.4703 23.92 23.92 23.92
Atoms (fractional coordinates):
1 Pb 0.2500 0.2500 0.2500
2 Be 0.7500 0.7500 0.7500
3 La 0.0125 0.0125 0.0125
4 La 0.4875 0.4875 0.4875

Space-group type = R-3m (166)
Formation enthalpy at 0 K = 0.0759 eV per atom
M_tot = 0.000 μB/atom

LaBePb2 | GGA-PBE | relaxed

Lattice parameters (Å, degrees): 5.3863 5.3863 5.3863 60.00 60.00 60.00
Atoms (fractional coordinates):
1 Pb 0.0000 0.0000 0.0000
2 Pb 0.2500 0.2500 0.2500
3 Be 0.5000 0.5000 0.5000
4 La 0.7500 0.7500 0.7500

Space-group type = F-43m (216)
Formation enthalpy at 0 K = 0.1829 eV per atom
M_tot = 0.000 μB/atom

LaBe2Pb | GGA-PBE | relaxed

Lattice parameters (Å, degrees): 4.6626 4.6626 9.2867 75.46 75.46 90.00
Atoms (fractional coordinates):
1 Pb 0.0000 0.0000 0.0000
2 Pb 0.7500 0.2500 0.5000
3 Be 0.8753 0.1250 0.2500
4 Be 0.8747 0.6250 0.2500
5 Be 0.3750 0.1247 0.7500
6 Be 0.8750 0.1253 0.7500
7 La 0.5000 0.5000 0.0000
8 La 0.2500 0.7500 0.5000

Space-group type = I4_1/amd (141)
Formation enthalpy at 0 K = 0.2436 eV per atom
M_tot = 0.000 μB/atom

La2BePb | GGA-PBE | relaxed

Lattice parameters (Å, degrees): 5.4493 5.4493 5.4493 60.00 60.00 60.00
Atoms (fractional coordinates):
1 Pb 0.5000 0.5000 0.5000
2 Be 0.0000 0.0000 0.0000
3 La 0.2500 0.2500 0.2500
4 La 0.7500 0.7500 0.7500

Space-group type = Fm-3m (225)
Formation enthalpy at 0 K = -0.1006 eV per atom
M_tot = 0.000 μB/atom

La2BePb | GGA-PBE | relaxed

Lattice parameters (Å, degrees): 6.2224 6.2224 4.9967 66.32 66.32 38.33
Atoms (fractional coordinates):
1 Pb 0.5494 0.5494 0.4507
2 Be 0.2081 0.2081 0.2916
3 La 0.9801 0.9801 0.0200
4 La 0.7625 0.7625 0.7377

Space-group type = Imm2 (44)
Formation enthalpy at 0 K = -0.1694 eV per atom
M_tot = 0.000 μB/atom

LaBePb2 | GGA-PBE | relaxed

Lattice parameters (Å, degrees): 3.7178 3.7181 7.4654 90.00 90.00 90.00
Atoms (fractional coordinates):
1 Pb 0.0000 0.0000 0.0487
2 Pb 0.0000 0.0000 0.4513
3 Be 0.5000 0.5000 0.2500
4 La 0.5000 0.5000 0.7500

Space-group type = P4/mmm (123)
Formation enthalpy at 0 K = 0.1241 eV per atom
M_tot = 0.000 μB/atom

La2BePb | GGA-PBE | relaxed

Lattice parameters (Å, degrees): 3.5016 3.5016 9.2100 90.00 90.00 90.19
Atoms (fractional coordinates):
1 Pb 0.0000 0.0000 0.5590
2 Be 0.5000 0.5000 0.7221
3 La 0.0000 0.0000 0.9336
4 La 0.5000 0.5000 0.2853

Space-group type = Cmm2 (35)
Formation enthalpy at 0 K = 0.1148 eV per atom
M_tot = 0.000 μB/atom

LaBe2Pb | GGA-PBE | relaxed

Lattice parameters (Å, degrees): 6.3891 6.3891 6.3891 144.55 143.15 52.06
Atoms (fractional coordinates):
1 Pb 0.2566 0.7565 0.5000
2 Be 0.8990 0.8990 0.0000
3 Be 0.8276 0.3276 0.5000
4 La 0.5168 0.5168 0.0000

Space-group type = Imm2 (44)
Formation enthalpy at 0 K = 0.1030 eV per atom
M_tot = 0.039 μB/atom